Material: NaBPtPb
Method: DFT, PBE
State: relaxed

Calculated values
crystal system = cubic
ρ = 9.8 g/cm3
offset from the most stable computed form = 0.073 eV per atom

Structure (CIF):
```
data_NaBPtPb
_cell_length_a 6.655
_cell_length_b 6.655
_cell_length_c 6.655
_cell_angle_alpha 90.00
_cell_angle_beta 90.00
_cell_angle_gamma 90.00
_symmetry_space_group_name_H-M 'F -4 3 m'
_symmetry_Int_Tables_number 216
_symmetry_space_group_name_Hall 'F -4 2 3'
loop_
_atom_site_label
_atom_site_fract_x
_atom_site_fract_y
_atom_site_fract_z
Na1 0.000 0.000 0.000
B1 0.250 0.250 0.750
Pt1 0.250 0.250 0.250
Pb1 0.000 0.000 0.500
```